Record 1
! Th4TcHg2, optimized geometry, DFT PBE-GGA; values from VASP
! - electronic total energy (eV per atom) = -5.88
! - magnetization (Bohr magnetons per cell) = 0.00
! - formation enthalpy at 0 K (meV per atom) = -77
! - DOS(E_F) (states/eV/cell) = 17.85
! - E above lowest polymorph (meV/atom) = 89.4
&SYSTEM
  ibrav = 0, nat = 14, ntyp = 3
/
ATOMIC_SPECIES
Th 232.04 Th.upf
Tc 98.00 Tc.upf
Hg 200.59 Hg.upf
CELL_PARAMETERS angstrom
3.987 0.000 0.000
0.000 8.685 0.000
0.000 0.000 12.363
ATOMIC_POSITIONS crystal
Th 0.000 0.642 0.799
Th 0.000 0.358 0.201
Th 0.000 0.142 0.701
Th 0.000 0.858 0.299
Th 0.500 0.791 0.565
Th 0.500 0.209 0.435
Th 0.500 0.709 0.065
Th 0.500 0.291 0.935
Tc 0.000 0.000 0.500
Tc 0.000 0.500 0.000
Hg 0.500 0.927 0.844
Hg 0.500 0.073 0.156
Hg 0.500 0.427 0.656
Hg 0.500 0.573 0.344

Record 2
! TmThTcHg, optimized geometry, DFT PBE-GGA; values from VASP
! - electronic total energy (eV per atom) = -5.76
! - magnetization (Bohr magnetons per cell) = 0.00
! - formation enthalpy at 0 K (meV per atom) = -120
! - DOS(E_F) (states/eV/cell) = 3.90
&SYSTEM
  ibrav = 0, nat = 4, ntyp = 4
/
ATOMIC_SPECIES
Tm 168.93 Tm.upf
Hg 200.59 Hg.upf
Th 232.04 Th.upf
Tc 98.00 Tc.upf
CELL_PARAMETERS angstrom
-1.893 -0.777 -4.691
-0.607 -4.768 -1.757
-4.703 -1.936 -0.574
ATOMIC_POSITIONS crystal
Tm 0.750 0.750 0.750
Hg 0.500 0.500 0.500
Th 0.250 0.250 0.250
Tc 0.000 0.000 0.000

Record 3
! YThTcHg, optimized geometry, DFT PBE-GGA; values from VASP
! - electronic total energy (eV per atom) = -6.25
! - magnetization (Bohr magnetons per cell) = 0.00
! - formation enthalpy at 0 K (meV per atom) = -107
! - DOS(E_F) (states/eV/cell) = 3.97
&SYSTEM
  ibrav = 0, nat = 4, ntyp = 4
/
ATOMIC_SPECIES
Y 88.91 Y.upf
Hg 200.59 Hg.upf
Th 232.04 Th.upf
Tc 98.00 Tc.upf
CELL_PARAMETERS angstrom
-3.427 -2.361 3.036
1.597 -2.599 4.151
-0.959 1.838 4.715
ATOMIC_POSITIONS crystal
Y 0.500 0.500 0.500
Hg 0.750 0.750 0.750
Th 0.000 0.000 0.000
Tc 0.250 0.250 0.250

Record 4
! Th2ZnTcHg, optimized geometry, DFT PBE-GGA; values from VASP
! - electronic total energy (eV per atom) = -5.58
! - magnetization (Bohr magnetons per cell) = 0.00
! - formation enthalpy at 0 K (meV per atom) = -221
! - DOS(E_F) (states/eV/cell) = 8.03
&SYSTEM
  ibrav = 0, nat = 10, ntyp = 4
/
ATOMIC_SPECIES
Th 232.04 Th.upf
Zn 65.41 Zn.upf
Tc 98.00 Tc.upf
Hg 200.59 Hg.upf
CELL_PARAMETERS angstrom
-3.575 -1.736 -0.834
3.138 -7.251 1.644
-3.120 3.227 6.655
ATOMIC_POSITIONS crystal
Th 0.750 0.891 0.650
Th 0.750 0.721 0.015
Th 0.250 0.109 0.350
Th 0.250 0.279 0.985
Zn 0.250 0.556 0.639
Zn 0.750 0.444 0.361
Tc 0.250 0.871 0.884
Tc 0.750 0.129 0.116
Hg 0.250 0.681 0.319
Hg 0.750 0.319 0.681

Record 5
! TiTcHg2, optimized geometry, DFT PBE-GGA; values from VASP
! - electronic total energy (eV per atom) = -4.17
! - magnetization (Bohr magnetons per cell) = 0.00
! - formation enthalpy at 0 K (meV per atom) = 550
! - DOS(E_F) (states/eV/cell) = 11.15
! - E above lowest polymorph (meV/atom) = 163.8
&SYSTEM
  ibrav = 0, nat = 8, ntyp = 3
/
ATOMIC_SPECIES
Ti 47.87 Ti.upf
Hg 200.59 Hg.upf
Tc 98.00 Tc.upf
CELL_PARAMETERS angstrom
3.921 0.000 0.000
0.000 3.921 0.000
1.960 1.960 10.237
ATOMIC_POSITIONS crystal
Ti 0.500 0.500 0.000
Ti 0.250 0.750 0.500
Hg 0.630 0.125 0.250
Hg 0.120 0.625 0.250
Hg 0.375 0.370 0.750
Hg 0.875 0.880 0.750
Tc 0.000 0.000 0.000
Tc 0.750 0.250 0.500

Record 6
! TiTcHg2, optimized geometry, DFT PBE-GGA; values from VASP
! - electronic total energy (eV per atom) = -4.33
! - magnetization (Bohr magnetons per cell) = 0.02
! - formation enthalpy at 0 K (meV per atom) = 386
! - DOS(E_F) (states/eV/cell) = 4.59
! - E above lowest polymorph (meV/atom) = 0.0
&SYSTEM
  ibrav = 0, nat = 4, ntyp = 3
/
ATOMIC_SPECIES
Ti 47.87 Ti.upf
Hg 200.59 Hg.upf
Tc 98.00 Tc.upf
CELL_PARAMETERS angstrom
0.000 3.299 3.299
3.299 0.000 3.299
3.299 3.299 0.000
ATOMIC_POSITIONS crystal
Ti 0.000 0.000 0.000
Hg 0.250 0.250 0.250
Hg 0.750 0.750 0.750
Tc 0.500 0.500 0.500

Record 7
! Ti3TcHg, optimized geometry, DFT PBE-GGA; values from VASP
! - electronic total energy (eV per atom) = -5.24
! - magnetization (Bohr magnetons per cell) = 0.00
! - formation enthalpy at 0 K (meV per atom) = 1627
! - DOS(E_F) (states/eV/cell) = 8.43
! - E above lowest polymorph (meV/atom) = 1172.4
&SYSTEM
  ibrav = 0, nat = 5, ntyp = 3
/
ATOMIC_SPECIES
Ti 47.87 Ti.upf
Hg 200.59 Hg.upf
Tc 98.00 Tc.upf
CELL_PARAMETERS angstrom
-2.713 -2.699 2.993
0.014 -3.614 -3.247
4.030 -1.804 2.026
ATOMIC_POSITIONS crystal
Ti 0.000 0.500 0.000
Ti 0.000 0.000 0.500
Ti 0.500 0.000 0.000
Hg 0.000 0.000 0.000
Tc 0.500 0.500 0.500

Record 8
! TiTc2Hg2, optimized geometry, DFT PBE-GGA; values from VASP
! - electronic total energy (eV per atom) = -5.23
! - magnetization (Bohr magnetons per cell) = 0.00
! - formation enthalpy at 0 K (meV per atom) = 614
! - DOS(E_F) (states/eV/cell) = 9.71
! - E above lowest polymorph (meV/atom) = 50.2
&SYSTEM
  ibrav = 0, nat = 10, ntyp = 3
/
ATOMIC_SPECIES
Ti 47.87 Ti.upf
Hg 200.59 Hg.upf
Tc 98.00 Tc.upf
CELL_PARAMETERS angstrom
-0.708 -3.218 7.270
-0.284 -7.284 -3.252
2.932 -0.202 0.196
ATOMIC_POSITIONS crystal
Ti 0.000 0.000 0.000
Ti 0.500 0.500 0.000
Hg 0.313 0.813 0.000
Hg 0.813 0.687 0.000
Hg 0.687 0.187 0.000
Hg 0.187 0.313 0.000
Tc 0.104 0.604 0.500
Tc 0.604 0.896 0.500
Tc 0.896 0.396 0.500
Tc 0.396 0.104 0.500

Record 9
! TiTc3Hg, optimized geometry, DFT PBE-GGA; values from VASP
! - electronic total energy (eV per atom) = -5.34
! - magnetization (Bohr magnetons per cell) = 1.08
! - formation enthalpy at 0 K (meV per atom) = 2514
! - DOS(E_F) (states/eV/cell) = 13.16
! - E above lowest polymorph (meV/atom) = 1205.0
&SYSTEM
  ibrav = 0, nat = 5, ntyp = 3
/
ATOMIC_SPECIES
Ti 47.87 Ti.upf
Hg 200.59 Hg.upf
Tc 98.00 Tc.upf
CELL_PARAMETERS angstrom
4.845 0.000 0.000
0.000 4.845 0.000
0.000 0.000 4.845
ATOMIC_POSITIONS crystal
Ti 0.500 0.500 0.500
Hg 0.000 0.000 0.000
Tc 0.000 0.500 0.000
Tc 0.000 0.000 0.500
Tc 0.500 0.000 0.000

Record 10
! TiTc3Hg, optimized geometry, DFT PBE-GGA; values from VASP
! - electronic total energy (eV per atom) = -6.55
! - magnetization (Bohr magnetons per cell) = 2.01
! - formation enthalpy at 0 K (meV per atom) = 1309
! - DOS(E_F) (states/eV/cell) = 5.46
! - E above lowest polymorph (meV/atom) = 0.0
&SYSTEM
  ibrav = 0, nat = 5, ntyp = 3
/
ATOMIC_SPECIES
Ti 47.87 Ti.upf
Hg 200.59 Hg.upf
Tc 98.00 Tc.upf
CELL_PARAMETERS angstrom
4.560 0.000 0.000
0.000 4.560 0.000
0.000 0.000 4.560
ATOMIC_POSITIONS crystal
Ti 0.000 0.000 0.000
Hg 0.500 0.500 0.500
Tc 0.000 0.500 0.000
Tc 0.000 0.000 0.500
Tc 0.500 0.000 0.000

Record 11
! Ti3Tc2Hg, optimized geometry, DFT PBE-GGA; values from VASP
! - electronic total energy (eV per atom) = -7.85
! - magnetization (Bohr magnetons per cell) = 0.00
! - formation enthalpy at 0 K (meV per atom) = -393
! - DOS(E_F) (states/eV/cell) = 4.30
&SYSTEM
  ibrav = 0, nat = 6, ntyp = 3
/
ATOMIC_SPECIES
Ti 47.87 Ti.upf
Tc 98.00 Tc.upf
Hg 200.59 Hg.upf
CELL_PARAMETERS angstrom
-2.493 -1.521 -1.220
0.321 -2.273 2.179
-5.942 4.922 6.009
ATOMIC_POSITIONS crystal
Ti 0.000 0.000 0.000
Ti 0.000 0.000 0.698
Ti 0.000 0.000 0.302
Tc 0.500 0.500 0.839
Tc 0.500 0.500 0.161
Hg 0.500 0.500 0.500

Record 12
! Ti2TcHg, optimized geometry, DFT PBE-GGA; values from VASP
! - electronic total energy (eV per atom) = -6.77
! - magnetization (Bohr magnetons per cell) = 0.00
! - formation enthalpy at 0 K (meV per atom) = -151
! - DOS(E_F) (states/eV/cell) = 3.88
&SYSTEM
  ibrav = 0, nat = 4, ntyp = 3
/
ATOMIC_SPECIES
Ti 47.87 Ti.upf
Hg 200.59 Hg.upf
Tc 98.00 Tc.upf
CELL_PARAMETERS angstrom
3.348 0.000 0.000
0.000 4.461 0.000
0.000 0.000 4.461
ATOMIC_POSITIONS crystal
Ti 0.000 0.000 0.500
Ti 0.000 0.500 0.000
Hg 0.500 0.500 0.500
Tc 0.500 0.000 0.000

Record 13
! TiTc2Hg, optimized geometry, DFT PBE-GGA; values from VASP
! - electronic total energy (eV per atom) = -6.66
! - magnetization (Bohr magnetons per cell) = 0.00
! - formation enthalpy at 0 K (meV per atom) = 568
! - DOS(E_F) (states/eV/cell) = 8.96
&SYSTEM
  ibrav = 0, nat = 8, ntyp = 3
/
ATOMIC_SPECIES
Ti 47.87 Ti.upf
Hg 200.59 Hg.upf
Tc 98.00 Tc.upf
CELL_PARAMETERS angstrom
3.957 0.000 0.000
0.000 3.957 0.000
1.979 1.979 9.437
ATOMIC_POSITIONS crystal
Ti 0.500 0.500 0.000
Ti 0.250 0.750 0.500
Hg 0.000 0.000 0.000
Hg 0.750 0.250 0.500
Tc 0.548 0.125 0.250
Tc 0.202 0.625 0.250
Tc 0.375 0.452 0.750
Tc 0.875 0.798 0.750

Record 14
! Ti2TcHg, optimized geometry, DFT PBE-GGA; values from VASP
! - electronic total energy (eV per atom) = -6.93
! - magnetization (Bohr magnetons per cell) = 0.00
! - formation enthalpy at 0 K (meV per atom) = -316
! - DOS(E_F) (states/eV/cell) = 3.21
&SYSTEM
  ibrav = 0, nat = 4, ntyp = 3
/
ATOMIC_SPECIES
Ti 47.87 Ti.upf
Hg 200.59 Hg.upf
Tc 98.00 Tc.upf
CELL_PARAMETERS angstrom
-2.291 -0.908 -2.003
-0.646 -2.488 1.865
-4.460 3.719 3.416
ATOMIC_POSITIONS crystal
Ti 0.000 0.000 0.787
Ti 0.000 0.000 0.213
Hg 0.500 0.500 0.500
Tc 0.500 0.500 0.000